Material: ScSn3As
Method: DFT, GGA-PBE
State: relaxed

## Properties
**Relative energy among the computed polymorphs**: 0 meV per atom
**Calculated total energy**: -20.64 eV per formula unit
**ΔE_f**: 0.4695 eV/atom

a = 5.3483 Å, b = 5.3483 Å, c = 5.3483 Å
α = 90.00°, β = 90.00°, γ = 90.00°
With the nearest neighbours (Å) after each atom.
Atoms (fractional coordinates):
1 Sc 0.5000 0.5000 0.5000  12 Sn 3.78
2 Sn 0.5000 0.0000 0.0000  2 As 2.67
3 As 0.0000 0.0000 0.0000  6 Sn 2.67
4 Sn 0.0000 0.5000 0.0000  2 As 2.67
5 Sn 0.0000 0.0000 0.5000  2 As 2.67